This record from Alexandria via LeMat-Bulk describes a relaxed structure of CaPmMg. The functional is PBE.

abc: 3.7459 3.7459 7.4534
angles: 104.55 104.55 90.00
Last column: nearest neighbours and their distance in Å.
Sites, in units of the cell vectors:
Ca1 0.2686 0.2686 0.5372  4 Mg 3.42, 4 Ca 3.75
Mg1 0.6138 0.6138 0.2277  4 Pm 3.34, 4 Ca 3.42
Pm1 0.9676 0.9676 0.9351  4 Mg 3.34

Computed properties:
The value obtained for the density of states at the Fermi level is 3.9 states/eV/f.u. The space-group type is I4mm (107). As for the formation energy: -0.01 eV per atom. The calculation puts the energy above the most stable polymorph in this dataset at 39 meV/atom. As for the uncorrected energy: -2.792 eV per atom.



This record from Alexandria via LeMat-Bulk describes a relaxed structure of Pr4Al2CdAg. The functional is PBE.

abc: 5.3795 5.3795 9.3433
angles: 73.27 73.27 60.00
Last column: nearest neighbours and their distance in Å.
Sites, in units of the cell vectors:
Pr1 0.3770 0.3770 0.8690  1 Ag 3.25, 4 Al 3.26-3.30, 3 Cd 3.31
Pr2 0.8730 0.8730 0.3809  3 Ag 3.28, 4 Al 3.30-3.33, 1 Cd 3.36
Pr3 0.1270 0.1270 0.6191  3 Ag 3.28, 4 Al 3.30-3.33, 1 Cd 3.36
Pr4 0.6230 0.6230 0.1310  1 Ag 3.25, 4 Al 3.26-3.30, 3 Cd 3.31
Al1 0.7480 0.7480 0.7559  8 Pr 3.26-3.33
Al2 0.2520 0.2520 0.2441  8 Pr 3.26-3.33
Cd1 0.0000 0.0000 0.0000  8 Pr 3.31-3.36
Ag1 0.5000 0.5000 0.5000  8 Pr 3.25-3.28

Computed properties:
The value obtained for the density of states at the Fermi level is 9.3 states/eV/f.u. The space-group type is R-3m (166). As for the formation energy: -0.30 eV per atom. As for the uncorrected energy: -4.094 eV per atom.



This record from Alexandria via LeMat-Bulk describes a relaxed structure of ZrIn. The functional is PBE.

abc: 4.6347 4.6347 4.6347
angles: 60.00 60.00 60.00
Last column: nearest neighbours and their distance in Å.
Sites, in units of the cell vectors:
In1 0.0000 0.0000 0.0000  4 Zr 2.84
Zr1 0.7500 0.7500 0.7500  4 In 2.84

Computed properties:
The value obtained for the density of states at the Fermi level is 3.0 states/eV/f.u. The space-group type is F-43m (216). As for the formation energy: 1.18 eV per atom. As for the uncorrected energy: -4.467 eV per atom.



This record from Alexandria via LeMat-Bulk describes a relaxed structure of Dy2BeSiPd6. The functional is PBE.

abc: 5.8701 6.8231 5.8723
angles: 67.77 58.13 91.57
Last column: nearest neighbours and their distance in Å.
Sites, in units of the cell vectors:
Dy1 0.7206 0.1820 0.5285  8 Pd 2.93-3.19
Dy2 0.2795 0.8180 0.4715  8 Pd 2.93-3.19
Be1 0.5000 0.5000 0.0000  6 Pd 2.15-2.17
Si1 0.0000 0.0000 0.0000  6 Pd 2.42
Pd1 0.2426 0.2674 0.4745  1 Be 2.15
Pd2 0.7404 0.6652 0.0899  1 Be 2.17, 1 Si 2.42
Pd3 0.2445 0.7236 0.0408  1 Be 2.16
Pd4 0.7555 0.2764 0.9592  1 Be 2.16
Pd5 0.2596 0.3348 0.9101  1 Be 2.17, 1 Si 2.42
Pd6 0.7574 0.7326 0.5255  1 Be 2.15

Computed properties:
The value obtained for the density of states at the Fermi level is 3.3 states/eV/f.u. The space-group type is P-1 (2). The value obtained for the formation energy (no corrections) is -68.8 kJ/mol of atoms. As for the uncorrected energy: -5.664 eV per atom.



This record from Alexandria via LeMat-Bulk describes a relaxed structure of CrNiCl2. The functional is PBE.

abc: 3.5482 5.7670 5.0607
angles: 41.16 90.00 90.00
Last column: nearest neighbours and their distance in Å.
Sites, in units of the cell vectors:
Ni1 0.0000 0.0000 0.5000  6 Cl 2.53-2.62
Cl1 0.0000 0.0000 0.0000  2 Ni 2.53, 4 Cr 2.62
Cl2 0.5000 0.5000 0.0000  2 Cr 2.53, 4 Ni 2.62
Cr1 0.5000 0.5000 0.5000  6 Cl 2.53-2.62

Computed properties:
The value obtained for the density of states at the Fermi level is 2.6 states/eV/f.u. The space-group type is P2/m (10). The value obtained for the formation energy (no corrections) is 4.4 kJ/mol of atoms. The calculation puts the energy above the most stable polymorph in this dataset at 335 meV/atom. As for the uncorrected energy: -4.729 eV per atom.



This record from Alexandria via LeMat-Bulk describes a relaxed structure of Sr2MgAlHg6. The functional is PBE.

abc: 7.6013 7.5979 7.7753
angles: 58.19 58.10 90.85
Last column: nearest neighbours and their distance in Å.
Sites, in units of the cell vectors:
Sr1 0.2189 0.7813 0.4997  6 Hg 3.35-3.54
Sr2 0.7811 0.2187 0.5003  6 Hg 3.35-3.54
Mg1 0.5000 0.5000 0.0000  6 Hg 2.72-2.77
Al1 0.0000 0.0000 0.0000  6 Hg 2.63-2.68
Hg1 0.2463 0.7534 0.0000  1 Al 2.67, 1 Mg 2.75
Hg2 0.7767 0.7769 0.9584  1 Al 2.63, 1 Mg 2.72
Hg3 0.3390 0.3387 0.4919  1 Al 2.68, 1 Mg 2.77
Hg4 0.7537 0.2466 0.0000  1 Al 2.67, 1 Mg 2.75
Hg5 0.2233 0.2231 0.0416  1 Al 2.63, 1 Mg 2.72
Hg6 0.6610 0.6613 0.5081  1 Al 2.68, 1 Mg 2.77

Computed properties:
The value obtained for the density of states at the Fermi level is 3.4 states/eV/f.u. The space-group type is C2/m (12). As for the formation energy: -0.22 eV per atom. As for the uncorrected energy: -1.272 eV per atom.



This record from Alexandria via LeMat-Bulk describes a relaxed structure of SnIrAu2. The functional is PBE.

abc: 3.9039 3.9039 10.4827
angles: 79.27 79.27 90.00
Last column: nearest neighbours and their distance in Å.
Sites, in units of the cell vectors:
Ir1 0.0000 0.0000 0.0000  4 Sn 2.76, 4 Au 2.87
Ir2 0.7500 0.2500 0.5000  4 Sn 2.76, 4 Au 2.87
Au1 0.6328 0.1250 0.2500  4 Au 2.72-2.80, 2 Ir 2.87, 2 Sn 2.89
Au2 0.1172 0.6250 0.2500  4 Au 2.72-2.80, 2 Ir 2.87, 2 Sn 2.89
Au3 0.3750 0.3672 0.7500  4 Au 2.72-2.80, 2 Ir 2.87, 2 Sn 2.89
Au4 0.8750 0.8828 0.7500  4 Au 2.72-2.80, 2 Ir 2.87, 2 Sn 2.89
Sn1 0.5000 0.5000 0.0000  4 Ir 2.76, 4 Au 2.89
Sn2 0.2500 0.7500 0.5000  4 Ir 2.76, 4 Au 2.89

Computed properties:
The value obtained for the density of states at the Fermi level is 2.0 states/eV/f.u. The space-group type is I-42d (122). As for the formation energy: 0.17 eV per atom. As for the uncorrected energy: -4.680 eV per atom.



This record from Alexandria via LeMat-Bulk describes a relaxed structure of MgGaHg. The functional is PBE.

abc: 3.7426 3.7426 8.9635
angles: 90.00 90.00 89.99
Last column: nearest neighbours and their distance in Å.
Sites, in units of the cell vectors:
Mg1 0.4972 0.0028 0.2471  5 Ga 2.80-3.11, 4 Hg 2.98
Mg2 0.9972 0.5028 0.7529  5 Ga 2.80-3.11, 4 Hg 2.98
Ga1 0.9966 0.5034 0.0653  5 Mg 2.80-3.11, 4 Ga 2.89, 1 Hg 3.01
Ga2 0.4966 0.0034 0.9347  5 Mg 2.80-3.11, 4 Ga 2.89, 1 Hg 3.01
Hg1 0.9971 0.5029 0.4006  5 Mg 2.98-3.16, 1 Ga 3.01, 4 Hg 3.19
Hg2 0.4971 0.0029 0.5994  5 Mg 2.98-3.16, 1 Ga 3.01, 4 Hg 3.19

Computed properties:
The value obtained for the density of states at the Fermi level is 0.7 states/eV/f.u. The space-group type is P4/nmm (129). As for the formation energy: -0.10 eV per atom. The calculation puts the energy above the most stable polymorph in this dataset at 8 meV/atom. As for the uncorrected energy: -1.744 eV per atom.



This record from Alexandria via LeMat-Bulk describes a relaxed structure of TbDy5YHo2. The functional is PBE.

abc: 5.5872 10.3291 10.5235
angles: 90.00 90.00 105.69
Last column: nearest neighbours and their distance in Å.
Sites, in units of the cell vectors:
Tb1 0.8004 0.6007 0.5116  2 Ho 3.39-3.65, 8 Dy 3.48-3.79, 2 Y 3.62
Tb2 0.1996 0.3993 0.0116  2 Ho 3.39-3.65, 8 Dy 3.48-3.79, 2 Y 3.62
Dy1 0.3899 0.7798 0.0236  6 Dy 3.46-3.77, 4 Ho 3.54-3.58, 1 Tb 3.79
Dy2 0.7197 0.4393 0.8088  1 Y 3.05, 1 Ho 3.32, 2 Dy 3.39
Dy3 0.4788 0.9575 0.7387  2 Y 3.14-3.26, 2 Ho 3.44, 2 Dy 3.46-3.48
Dy4 0.3001 0.6002 0.7083  4 Dy 3.39-3.77, 3 Ho 3.48-3.79, 3 Tb 3.48-3.77, 1 Y 3.48
Dy5 0.9827 0.9654 0.5238  2 Y 3.21, 3 Ho 3.39-3.54
Dy6 0.6101 0.2202 0.5236  6 Dy 3.46-3.77, 4 Ho 3.54-3.58, 1 Tb 3.79
Dy7 0.2803 0.5607 0.3088  1 Y 3.05, 1 Ho 3.32, 2 Dy 3.39
Dy8 0.5212 0.0425 0.2387  2 Y 3.14-3.26, 2 Ho 3.44, 2 Dy 3.46-3.48
Dy9 0.6999 0.3998 0.2083  4 Dy 3.39-3.77, 3 Ho 3.48-3.79, 3 Tb 3.48-3.77, 1 Y 3.48
Dy10 0.0173 0.0346 0.0238  2 Y 3.21, 3 Ho 3.39-3.54
Y1 0.5874 0.1749 0.9550  5 Dy 3.05-3.26
Y2 0.4126 0.8251 0.4550  5 Dy 3.05-3.26
Ho1 0.8866 0.7733 0.8173  9 Dy 3.32-3.63, 1 Tb 3.65
Ho2 0.1103 0.2207 0.7369  7 Dy 3.39-3.79, 1 Tb 3.39, 2 Y 3.64
Ho3 0.1134 0.2267 0.3173  9 Dy 3.32-3.63, 1 Tb 3.65
Ho4 0.8897 0.7793 0.2369  7 Dy 3.39-3.79, 1 Tb 3.39, 2 Y 3.64

Computed properties:
The value obtained for the density of states at the Fermi level is 14.7 states/eV/f.u. The space-group type is Cmc2_1 (36). As for the formation energy: 0.16 eV per atom. As for the uncorrected energy: -4.647 eV per atom.



This record from Alexandria via LeMat-Bulk describes a relaxed structure of Rb3In2Pb7. The functional is PBE.

abc: 6.9843 6.9843 11.1316
angles: 71.72 71.72 60.00
Last column: nearest neighbours and their distance in Å.
Sites, in units of the cell vectors:
Rb1 0.0000 0.0000 0.0000  6 In 4.03, 12 Pb 4.30, 2 Rb 4.40
Rb2 0.8587 0.8587 0.4238  12 Pb 3.97-4.11, 4 Rb 4.33-4.40
Rb3 0.1413 0.1413 0.5762  12 Pb 3.97-4.11, 4 Rb 4.33-4.40
In1 0.6633 0.6633 0.0102  6 Pb 3.15-3.28
In2 0.3367 0.3367 0.9898  6 Pb 3.15-3.28
Pb1 0.5000 0.5000 0.5000  6 Pb 3.38
Pb2 0.9243 0.4173 0.2411  2 In 3.15-3.28, 3 Pb 3.38-3.44
Pb3 0.4173 0.9243 0.2411  2 In 3.15-3.28, 3 Pb 3.38-3.44
Pb4 0.4173 0.4173 0.2411  2 In 3.15-3.28, 3 Pb 3.38-3.44
Pb5 0.0757 0.5827 0.7589  2 In 3.15-3.28, 3 Pb 3.38-3.44
Pb6 0.5827 0.5827 0.7589  2 In 3.15-3.28, 3 Pb 3.38-3.44
Pb7 0.5827 0.0757 0.7589  2 In 3.15-3.28, 3 Pb 3.38-3.44

Computed properties:
The value obtained for the density of states at the Fermi level is 5.4 states/eV/f.u. The space-group type is R-3m (166). As for the formation energy: -0.12 eV per atom. As for the uncorrected energy: -2.980 eV per atom.



This record from Alexandria via LeMat-Bulk describes a relaxed structure of Pm4C2I3. The functional is PBE.

abc: 3.7443 7.8982 9.2933
angles: 104.20 90.00 103.71
Last column: nearest neighbours and their distance in Å.
Sites, in units of the cell vectors:
Pm1 0.6872 0.3745 0.0966  3 C 2.42-2.58
Pm2 0.0968 0.1935 0.7152  2 C 2.48
Pm3 0.9032 0.8065 0.2848  2 C 2.48
Pm4 0.3128 0.6255 0.9034  3 C 2.42-2.58
C1 0.3065 0.6129 0.1612  5 Pm 2.42-2.58
C2 0.6935 0.3871 0.8388  5 Pm 2.42-2.58
I1 0.4010 0.8019 0.5929  5 Pm 3.43-3.48, 2 I 3.74
I2 0.0000 0.0000 0.0000  6 Pm 3.35-3.36, 2 I 3.74
I3 0.5990 0.1981 0.4071  5 Pm 3.43-3.48, 2 I 3.74

Computed properties:
The value obtained for the density of states at the Fermi level is 1.9 states/eV/f.u. The space-group type is C2/m (12). The value obtained for the formation energy (no corrections) is -69.0 kJ/mol of atoms. As for the uncorrected energy: -5.393 eV per atom.



This record from Alexandria via LeMat-Bulk describes a relaxed structure of EuHg2Ge. The functional is PBE.

abc: 3.9081 3.9081 6.6682
angles: 90.00 90.00 90.00
Last column: nearest neighbours and their distance in Å.
Sites, in units of the cell vectors:
Eu1 0.5000 0.5000 0.0000  8 Hg 3.29, 2 Ge 3.33
Ge1 0.5000 0.5000 0.5000  8 Hg 3.16, 2 Eu 3.33
Hg1 0.0000 0.0000 0.7309  1 Hg 3.08, 4 Ge 3.16, 4 Eu 3.29
Hg2 0.0000 0.0000 0.2691  1 Hg 3.08, 4 Ge 3.16, 4 Eu 3.29

Computed properties:
The value obtained for the density of states at the Fermi level is 6.3 states/eV/f.u. The space-group type is P4/mmm (123). As for the formation energy: -0.23 eV per atom. The calculation puts the energy above the most stable polymorph in this dataset at 78 meV/atom. As for the uncorrected energy: -4.105 eV per atom.